Material: Gd2TmIn3CuNi2
Method: DFT, PBE-GGA
State: relaxed

Cell and atoms, written as POSCAR:
```
Gd2TmIn3CuNi2
1.0
3.846 0.000 0.000
0.000 6.462 3.728
0.000 -6.462 3.728
Gd Tm In Cu Ni
2 1 3 1 2
Direct
0.000 0.206 0.794
0.000 0.794 0.206
0.000 0.381 0.381
0.500 0.053 0.053
0.500 0.536 0.791
0.500 0.791 0.536
0.000 0.791 0.791
0.500 0.129 0.459
0.500 0.459 0.129
```

Output
The crystal system is orthorhombic.

---

Material: Y2Al2ZnCd
Method: DFT, PBE-GGA
State: relaxed

Cell and atoms, written as POSCAR:
```
Y2Al2ZnCd
1.0
8.075 0.000 0.000
0.000 4.647 0.000
-2.629 0.000 15.220
Y Al Zn Cd
8 8 4 4
Direct
0.000 0.000 0.000
0.008 0.500 0.492
0.234 0.000 0.736
0.246 0.500 0.241
0.482 0.000 0.485
0.499 0.500 0.000
0.743 0.000 0.236
0.758 0.500 0.739
0.121 0.500 0.864
0.123 0.000 0.363
0.366 0.500 0.612
0.371 0.000 0.121
0.615 0.500 0.363
0.621 0.000 0.866
0.874 0.500 0.122
0.875 0.000 0.615
0.060 0.500 0.676
0.061 0.000 0.184
0.307 0.500 0.425
0.558 0.500 0.184
0.309 0.000 0.927
0.557 0.000 0.676
0.807 0.000 0.427
0.809 0.500 0.929
```

Output
The crystal system is monoclinic.

---

| no. | uncorrected energy (eV per atom) |
| --- | --- |
| 1 | -4.571 |
| 2 | -4.024 |